18
Lattice="-3.656 -1.960 0.418 3.516 -3.811 -7.919 6.329 -10.164 7.702" Properties=species:S:1:pos:R:3 comment="Na2InSnCl5 (PBE, relaxed)" total_magnetization_mub_per_cell=0.0 raw_formation_energy_mev_per_atom=-1275 volume_a3_per_cell=548.06 pbc="T T T"
Cl 1.627 -6.787 3.202
Na 2.145 -3.946 0.264
Cl 6.390 -12.234 -1.471
Na 0.646 -6.935 -6.075
Na 4.114 -6.706 4.537
Na 4.358 -12.496 0.320
In 4.016 -8.116 -2.935
Cl -0.111 -3.847 1.782
Cl 3.054 -10.385 -1.191
Cl 0.445 -5.993 -3.418
Cl 3.358 -6.315 -0.237
Cl 4.915 -8.612 2.611
Cl 4.888 -12.925 2.941
In 4.336 -11.293 5.768
Cl 0.867 -1.909 -1.368
Sn 1.343 -3.397 -4.188
Cl 1.559 -4.327 -6.654
Sn 2.354 -8.537 1.357